Record 1
The following is a DFT calculation (PBE) of a relaxed structure of ScZn2Au3.

Cell and atoms, written as POSCAR:
```
ScZn2Au3
1.0
4.4865 0.0000 0.0000
-2.2432 3.8854 0.0000
0.0000 0.0000 12.2772
Sc Zn Au
2 4 6
Cartesian
0.0000 0.0000 3.0693 Sc
0.0000 0.0000 9.2079 Sc
2.2432 1.2951 5.0289 Zn
0.0000 2.5903 7.2483 Zn
0.0000 2.5903 11.1675 Zn
2.2432 1.2951 1.1097 Zn
0.0000 0.0000 6.1386 Au
0.0000 0.0000 0.0000 Au
2.2432 1.2951 7.7884 Au
0.0000 2.5903 1.6498 Au
2.2432 1.2951 10.6274 Au
0.0000 2.5903 4.4888 Au
```

Results
* D(E_F): 0.6035 states/eV per atom
* space-group type: P6_3/mmc
* ΔH_f (0 K): -0.45 eV per atom

Record 2
The following is a DFT calculation (PBE) of a relaxed structure of Nd4Dy2Tm.

Cell and atoms, written as POSCAR:
```
Nd4Dy2Tm
1.0
6.2342 0.0000 -0.2718
0.0000 6.6713 0.0000
-2.3993 0.0000 11.3664
Nd Dy Tm
8 4 2
Cartesian
3.3457 3.4113 3.0569 Nd
-1.8035 5.0035 9.8328 Nd
5.6384 1.6678 1.2618 Nd
3.3457 6.5957 3.0569 Nd
3.9747 1.6678 6.0102 Nd
0.4892 0.0756 8.0378 Nd
0.4892 3.2601 8.0378 Nd
-0.1399 5.0035 5.0845 Nd
1.4166 5.0035 11.1301 Dy
2.4183 1.6678 -0.0355 Dy
0.7816 1.6678 4.7134 Dy
3.0533 5.0035 6.3812 Dy
0.5260 5.0035 1.8191 Tm
3.3089 1.6678 9.2755 Tm
```

Results
* D(E_F): 1.5221 states/eV per atom
* space-group type: P2_1/m
* ΔH_f (0 K): 0.12 eV per atom

no.,DFT total energy (eV/atom)
1,-3.5703
2,-4.5532